(1)
Material: HoHfFeRu
Method: DFT, GGA-PBE
State: optimized geometry

The structure belongs to space group F-43m (No. 216); the cell edges are 6.532, 6.532 and 6.532 Å and the angles 90.00°, 90.00° and 90.00°. The distinct sites, in fractional coordinates, are Ho at (0.000, 0.000, 0.000), Hf at (0.000, 0.000, 0.500), Fe at (0.250, 0.250, 0.250) and Ru at (0.250, 0.250, 0.750).

Its formation energy is -0.285 eV per atom. As for the energy: -8.3528 eV per atom.

***

(2)
Material: SiBRhAuCS
Method: DFT, GGA-PBE
State: optimized geometry

The structure belongs to space group P1 (No. 1); the cell edges are 2.806, 5.400 and 5.528 Å and the angles 95.62°, 100.87° and 94.54°. The distinct sites, in fractional coordinates, are Si at (0.000, 0.000, 0.000), B at (0.877, 0.324, 0.845), Rh at (0.436, 0.630, 0.916), Au at (0.983, 0.691, 0.422), C at (0.148, 0.074, 0.358) and S at (0.732, 0.258, 0.489).

As for the relative energy among the computed polymorphs: 203 meV/atom. As for the energy: -5.6317 eV per atom. Its energy relative to the elements, uncorrected is 0.382 eV per atom.

***

(3)
Material: RbTeN2
Method: DFT, GGA-PBE
State: optimized geometry

The structure belongs to space group I-42d (No. 122); the cell edges are 6.320, 6.320 and 8.730 Å and the angles 90.00°, 90.00° and 90.00°. The distinct sites, in fractional coordinates, are Rb at (0.000, 0.000, 0.000), Te at (0.000, 0.000, 0.500) and N at (0.119, 0.250, 0.625).

As for the energy: -4.5631 eV per atom. Its energy relative to the elements, uncorrected is 0.627 eV per atom.

***

(4)
Material: Rb4Pr3HoTe8
Method: DFT, GGA-PBE
State: optimized geometry

The structure belongs to space group R-3m (No. 166, hexagonal axes); the cell edges are 9.2789, 9.2789 and 25.7247 Å and the angles 90.00°, 90.00° and 120.00°. The distinct sites, in fractional coordinates, are Rb at (0.0000, 0.0000, 0.0000), Rb at (0.0000, 0.5000, 0.0000), Pr at (0.0000, 0.5000, 0.5000), Ho at (0.0000, 0.0000, 0.5000), Te at (0.0000, 0.0000, 0.2358) and Te at (0.0092, 0.5046, 0.2343).

As for the energy: -4.3947 eV per atom. Its energy relative to the elements, uncorrected is -1.400 eV per atom.

***

(5)
Material: PbSe2Cl
Method: DFT, GGA-PBE
State: optimized geometry

The structure belongs to space group C2/m (No. 12); the cell edges are 5.555, 8.964 and 5.261 Å and the angles 90.00°, 121.57° and 90.00°. The distinct sites, in fractional coordinates, are Pb at (0.000, 0.000, 0.000), Se at (0.250, 0.250, 0.500) and Cl at (0.000, 0.500, 0.000).

As for the relative energy among the computed polymorphs: 269 meV/atom. As for the energy: -3.2865 eV per atom. Its energy relative to the elements, uncorrected is -0.155 eV per atom.

***

(6)
Material: ZrAs2Ir
Method: DFT, GGA-PBE
State: optimized geometry

The structure belongs to space group Fm-3m (No. 225); the cell edges are 6.486, 6.486 and 6.486 Å and the angles 90.00°, 90.00° and 90.00°. The distinct sites, in fractional coordinates, are Zr at (0.000, 0.000, 0.000), As at (0.250, 0.250, 0.250) and Ir at (0.000, 0.000, 0.500).

As for the relative energy among the computed polymorphs: 247 meV/atom. Its formation energy is -0.317 eV per atom. As for the energy: -6.9939 eV per atom.

***

(7)
Material: Er2Ag3GeSe6
Method: DFT, GGA-PBE
State: optimized geometry

The structure belongs to space group C2/m (No. 12); the cell edges are 17.836, 4.051 and 7.894 Å and the angles 90.00°, 101.25° and 90.00°. The distinct sites, in fractional coordinates, are Er at (0.165, 0.000, 0.329), Ag at (0.000, 0.500, 0.500), Ag at (0.177, 0.000, 0.835), Ge at (0.000, 0.500, 0.000), Se at (0.001, 0.000, 0.246), Se at (0.158, 0.500, 0.076) and Se at (0.171, 0.500, 0.585).

As for the energy: -4.3994 eV per atom. Its energy relative to the elements, uncorrected is -0.799 eV per atom.

***

(8)
Material: Ce3Nd2HoAs6
Method: DFT, GGA-PBE
State: optimized geometry

The structure belongs to space group C2/m (No. 12); the cell edges are 7.304, 12.652 and 7.299 Å and the angles 90.00°, 109.51° and 90.00°. The distinct sites, in fractional coordinates, are Ce at (0.000, 0.000, 0.000), Ce at (0.000, 0.332, 0.000), Nd at (0.000, 0.166, 0.500), Ho at (0.000, 0.500, 0.500), As at (0.243, 0.500, 0.247) and As at (0.247, 0.336, 0.752).

Its formation energy is -1.472 eV per atom. As for the energy: -6.4560 eV per atom.

***

(9)
Material: Ni3SbC
Method: DFT, GGA-PBE
State: optimized geometry

The structure belongs to space group Pm-3m (No. 221); the cell edges are 3.927, 3.927 and 3.927 Å and the angles 90.00°, 90.00° and 90.00°. The distinct sites, in fractional coordinates, are Ni at (0.000, 0.000, 0.500), Sb at (0.500, 0.500, 0.500) and C at (0.000, 0.000, 0.000).

As for the relative energy among the computed polymorphs: 0 meV/atom. As for the energy: -6.0158 eV per atom. Its energy relative to the elements, uncorrected is 0.122 eV per atom.

***

(10)
Material: Ni6Pt12W
Method: DFT, GGA-PBE
State: optimized geometry

The structure belongs to space group R-3 (No. 148, hexagonal axes); the cell edges are 10.7640, 10.7640 and 8.7427 Å and the angles 90.00°, 90.00° and 120.00°. The distinct sites, in fractional coordinates, are Ni at (0.0268, 0.1397, 0.2160), Pt at (0.0599, 0.4698, 0.1252), Pt at (0.0634, 0.4755, 0.6186) and W at (0.0000, 0.0000, 0.5000).

Its formation energy is 0.129 eV per atom. As for the energy: -6.1938 eV per atom.

***

(11)
Material: MnAl2RuC
Method: DFT, GGA-PBE
State: optimized geometry

The structure belongs to space group P4/mmm (No. 123); the cell edges are 4.648, 4.648 and 4.368 Å and the angles 90.00°, 90.00° and 90.00°. The distinct sites, in fractional coordinates, are Mn at (0.000, 0.000, 0.000), Al at (0.000, 0.500, 0.500), Ru at (0.000, 0.000, 0.500) and C at (0.500, 0.500, 0.000).

Its formation energy is 1.779 eV per atom. As for the energy: -5.2523 eV per atom.

***

(12)
Material: Sm6Ho2Pu
Method: DFT, GGA-PBE
State: optimized geometry

The structure belongs to space group P2_1/c (No. 14); the cell edges are 8.421, 6.564 and 11.396 Å and the angles 90.00°, 108.39° and 90.00°. The distinct sites, in fractional coordinates, are Sm at (0.083, 0.034, 0.201), Sm at (0.267, 0.174, 0.991), Sm at (0.341, 0.680, 0.957), Ho at (0.413, 0.037, 0.749) and Pu at (0.000, 0.000, 0.500).

Its formation energy is 0.213 eV per atom. As for the energy: -5.5427 eV per atom.

***

Number 1: magnetization 0.2 μB per formula unit. Number 2: magnetization 0.0 μB per formula unit. Number 3: magnetization 0.0 μB per formula unit. Number 4: magnetization 0.0 μB per formula unit. Number 5: magnetization 0.0 μB per formula unit. Number 6: magnetization 0.0 μB per formula unit. Number 7: magnetization 0.0 μB per formula unit. Number 8: magnetization 1.9 μB per formula unit. Number 9: magnetization 0.0 μB per formula unit. Number 10: magnetization 3.6 μB per formula unit. Number 11: magnetization 1.3 μB per formula unit. Number 12: magnetization 6.3 μB per formula unit.